Model w:
DFT (PBE) results for a relaxed structure of LiSiTe2I.

Properties
The calculated volume is 139 Å³/cell. Its density of states at the Fermi level is 0.80 states/eV/atom.

```
5
Lattice="-2.921 -3.955 1.573 3.451 -1.084 3.682 -2.510 3.160 3.283" Properties=species:S:1:pos:R:3 pbc="T T T"
Si -0.990 -0.939 4.269
Te -1.460 -1.977 0.786
I -1.255 1.580 1.641
Te 1.725 -0.542 1.841
Li 0.000 0.000 0.000
```

Model x:
DFT (PBE) results for a relaxed structure of LiSiTe2I.

Properties
The calculated volume is 166 Å³/cell. Its density of states at the Fermi level is 0.75 states/eV/atom.

```
5
Lattice="5.314 0.000 0.000 0.000 5.314 0.000 0.000 0.000 5.867" Properties=species:S:1:pos:R:3 pbc="T T T"
Si 0.000 0.000 0.000
Te 0.000 2.657 0.000
I 0.000 0.000 2.934
Te 2.657 0.000 0.000
Li 2.657 2.657 2.934
```

Least stable structure: model w

Model w:
DFT (PBE) results for a relaxed structure of InW2Se.

Properties
The calculated volume is 69 Å³/cell. Its density of states at the Fermi level is 0.92 states/eV/atom.

```
4
Lattice="4.660 0.000 0.000 0.000 4.660 0.000 0.000 0.000 3.160" Properties=species:S:1:pos:R:3 pbc="T T T"
W 2.330 2.330 0.000
Se 0.000 2.330 1.580
In 2.330 0.000 1.580
W 0.000 0.000 0.000
```

Model x:
DFT (PBE) results for a relaxed structure of InW2Se.

Properties
The calculated volume is 69 Å³/cell. Its density of states at the Fermi level is 1.98 states/eV/atom.

```
4
Lattice="0.000 3.249 3.249 3.249 0.000 3.249 3.249 3.249 0.000" Properties=species:S:1:pos:R:3 pbc="T T T"
Se 0.000 0.000 0.000
W 4.873 4.873 4.873
In 3.249 3.249 3.249
W 1.624 1.624 1.624
```

Least stable structure: model x

Model w:
DFT (PBE) results for a relaxed structure of InHgBi4.

Properties
The calculated volume is 188 Å³/cell. Its density of states at the Fermi level is 0.42 states/eV/atom.

```
6
Lattice="-0.307 2.258 -5.112 -0.408 -6.622 0.153 -5.206 3.783 1.995" Properties=species:S:1:pos:R:3 pbc="T T T"
Bi -0.733 -3.414 -1.474
Bi -2.452 0.848 -2.544
In -2.603 1.891 0.997
Bi -5.188 2.833 -1.490
Hg 0.000 0.000 0.000
Bi -3.469 -1.430 -0.419
```

Model x:
DFT (PBE) results for a relaxed structure of InHgBi4.

Properties
The calculated volume is 205 Å³/cell. Its density of states at the Fermi level is 0.73 states/eV/atom.

```
6
Lattice="-6.603 -0.019 0.506 -2.879 -1.734 5.706 -3.051 4.572 3.692" Properties=species:S:1:pos:R:3 pbc="T T T"
Hg 0.000 0.000 0.000
Bi -7.843 1.765 6.198
Bi -6.394 2.637 3.326
In -3.133 0.705 2.476
Bi -4.520 1.774 5.944
Bi -6.307 -0.537 4.340
```

Least stable structure: model x

Model w:
DFT (PBE) results for a relaxed structure of Tl2NiCl.

Properties
The calculated volume is 89 Å³/cell. Its density of states at the Fermi level is 0.65 states/eV/atom.

```
4
Lattice="-0.985 1.302 2.992 -1.227 -3.044 0.922 6.787 -1.819 3.026" Properties=species:S:1:pos:R:3 pbc="T T T"
Ni 3.985 -2.235 4.227
Tl 6.513 -1.745 2.903
Cl 0.591 -1.326 2.714
Tl 3.668 -0.983 1.635
```

Model x:
DFT (PBE) results for a relaxed structure of Tl2NiCl.

Properties
The calculated volume is 104 Å³/cell. Its density of states at the Fermi level is 0.37 states/eV/atom.

```
4
Lattice="-3.133 -3.412 2.429 0.116 -2.270 -3.039 4.304 -4.691 -1.039" Properties=species:S:1:pos:R:3 pbc="T T T"
Tl 3.852 -5.805 -3.187
Ni 2.288 -7.539 -2.009
Tl 0.076 -4.014 0.089
Cl -1.432 -6.867 -0.233
```

Least stable structure: model w

Model w:
DFT (PBE) results for a relaxed structure of CaLaTl.

Properties
The calculated volume is 191 Å³/cell. Its density of states at the Fermi level is 0.27 states/eV/atom.

```
6
Lattice="4.809 -0.003 -0.004 -2.400 7.469 0.011 -2.399 -1.974 5.309" Properties=species:S:1:pos:R:3 pbc="T T T"
Ca 3.159 2.688 1.324
La 0.756 5.438 1.174
Tl 0.754 0.333 1.313
Tl 0.761 2.993 3.889
Ca -1.644 0.638 3.879
La -1.642 5.357 4.039
```

Model x:
DFT (PBE) results for a relaxed structure of CaLaTl.

Properties
The calculated volume is 428 Å³/cell. Its density of states at the Fermi level is 1.12 states/eV/atom.

```
12
Lattice="-0.512 -4.944 -5.067 6.977 -1.209 0.475 -1.429 -5.920 5.920" Properties=species:S:1:pos:R:3 pbc="T T T"
Ca 4.224 -7.912 -2.648
Tl 2.518 -6.036 0.664
Ca 4.760 -4.276 -1.279
Tl 0.000 0.000 0.000
La 4.034 -6.582 3.530
Ca 0.813 -4.160 3.976
La 1.259 -3.018 0.331
Tl -0.970 -5.432 0.427
La 1.003 -5.491 -2.202
Tl 3.489 -0.605 0.238
Ca 0.276 -7.796 2.607
La 3.778 -9.054 0.997
```

Least stable structure: model x